# 1
Compound: ScU2Ru4
Source: Alexandria via LeMat-Bulk
Functional: PBE-GGA
Structure: relaxed

```
7
Lattice="-3.035 3.035 3.524 3.035 -3.035 3.524 3.035 3.035 -3.524" Properties=species:S:1:pos:R:3 pbc="T T T"
Sc 0.000 0.000 0.000
U 3.035 0.000 0.000
U 0.000 3.035 0.000
Ru 1.518 1.518 -1.762
Ru 1.518 -1.518 1.762
Ru -1.518 1.518 1.762
Ru 1.518 1.518 1.762
```

Summary:
Formation enthalpy at 0 K, eV per atom: -0.06
Energy, eV per formula unit: -66.41
M_tot, μB per cell: 1.15
DOS(E_F), states/eV/f.u.: 8.81



# 2
Compound: Y2ScU2Ru5
Source: Alexandria via LeMat-Bulk
Functional: PBE-GGA
Structure: relaxed

```
20
Lattice="10.563 0.000 0.000 0.000 10.563 0.000 0.000 0.000 3.494" Properties=species:S:1:pos:R:3 pbc="T T T"
Y 1.823 3.459 0.000
Y 3.459 8.740 0.000
Y 7.105 1.823 0.000
Y 8.740 7.105 0.000
Sc 0.000 0.000 0.000
Sc 5.282 5.282 0.000
U 1.472 6.753 0.000
U 3.810 1.472 0.000
U 6.753 9.092 0.000
U 9.092 3.810 0.000
Ru 0.000 5.282 1.747
Ru 0.556 8.393 1.747
Ru 2.171 0.556 1.747
Ru 3.111 5.838 1.747
Ru 4.725 3.111 1.747
Ru 5.282 0.000 1.747
Ru 5.838 7.453 1.747
Ru 7.453 4.725 1.747
Ru 8.393 10.007 1.747
Ru 10.007 2.171 1.747
```

Summary:
Formation enthalpy at 0 K, eV per atom: -0.28
Energy, eV per formula unit: -91.04
M_tot, μB per cell: 0.00
DOS(E_F), states/eV/f.u.: 6.40



# 3
Compound: ScV2Ru2
Source: Alexandria via LeMat-Bulk
Functional: PBE-GGA
Structure: relaxed

```
5
Lattice="-2.037 2.037 5.131 2.037 -2.037 5.131 2.037 2.037 -5.131" Properties=species:S:1:pos:R:3 pbc="T T T"
Sc 0.000 0.000 0.000
V 2.037 0.000 2.566
V 0.000 2.037 2.566
Ru 0.000 0.000 3.880
Ru 0.000 0.000 6.382
```

Summary:
Formation enthalpy at 0 K, eV per atom: -0.18
Energy, eV per formula unit: -44.02
M_tot, μB per cell: 0.00
DOS(E_F), states/eV/f.u.: 4.66



# 4
Compound: ScVRu2
Source: Alexandria via LeMat-Bulk
Functional: PBE-GGA
Structure: relaxed

```
8
Lattice="-3.420 3.420 2.831 3.420 -3.420 2.831 3.420 3.420 -2.831" Properties=species:S:1:pos:R:3 pbc="T T T"
Sc 0.000 0.000 0.000
Sc 0.000 3.420 1.416
V 3.420 0.000 1.416
V 0.000 0.000 2.831
Ru 1.710 -1.424 2.123
Ru 1.996 1.710 0.708
Ru 1.710 4.844 -0.708
Ru 1.424 1.710 3.539
```

Summary:
Formation enthalpy at 0 K, eV per atom: 0.07
Energy, eV per formula unit: -33.71
M_tot, μB per cell: 0.00
DOS(E_F), states/eV/f.u.: 2.86



# 5
Compound: ScV2Ru2
Source: Alexandria via LeMat-Bulk
Functional: PBE-GGA
Structure: relaxed

```
10
Lattice="7.339 0.000 0.000 0.000 7.339 0.000 0.000 0.000 2.884" Properties=species:S:1:pos:R:3 pbc="T T T"
Sc 0.000 0.000 0.000
Sc 3.669 3.669 0.000
V 1.114 2.556 1.442
V 2.556 6.225 1.442
V 4.783 1.114 1.442
V 6.225 4.783 1.442
Ru 1.046 4.715 0.000
Ru 2.624 1.046 0.000
Ru 4.715 6.293 0.000
Ru 6.293 2.624 0.000
```

Summary:
Formation enthalpy at 0 K, eV per atom: -0.13
Energy, eV per formula unit: -43.78
M_tot, μB per cell: 0.00
DOS(E_F), states/eV/f.u.: 6.93



# 6
Compound: ScV2Ru2
Source: Alexandria via LeMat-Bulk
Functional: PBE-GGA
Structure: relaxed

```
10
Lattice="7.360 0.000 0.000 0.000 7.360 0.000 0.000 0.000 2.829" Properties=species:S:1:pos:R:3 pbc="T T T"
Sc 0.000 0.000 0.000
Sc 3.680 3.680 0.000
V 1.061 2.618 0.000
V 2.618 6.298 0.000
V 4.741 1.061 0.000
V 6.298 4.741 0.000
Ru 1.112 4.792 1.415
Ru 2.568 1.112 1.415
Ru 4.792 6.247 1.415
Ru 6.247 2.568 1.415
```

Summary:
Formation enthalpy at 0 K, eV per atom: -0.16
Energy, eV per formula unit: -43.91
M_tot, μB per cell: 0.00
DOS(E_F), states/eV/f.u.: 5.27



# 7
Compound: ScVRu2
Source: Alexandria via LeMat-Bulk
Functional: PBE-GGA
Structure: relaxed

```
4
Lattice="0.000 3.098 3.098 3.098 0.000 3.098 3.098 3.098 0.000" Properties=species:S:1:pos:R:3 pbc="T T T"
Sc 0.000 0.000 0.000
V 3.098 3.098 3.098
Ru 1.549 1.549 1.549
Ru 4.647 4.647 4.647
```

Summary:
Formation enthalpy at 0 K, eV per atom: -0.46
Energy, eV per formula unit: -35.83
M_tot, μB per cell: 0.00
DOS(E_F), states/eV/f.u.: 1.31



# 8
Compound: Sc2V2Ru
Source: Alexandria via LeMat-Bulk
Functional: PBE-GGA
Structure: relaxed

```
10
Lattice="6.164 0.000 0.000 0.000 6.164 0.000 0.000 0.000 4.679" Properties=species:S:1:pos:R:3 pbc="T T T"
Sc 1.057 2.025 0.000
Sc 2.025 5.107 0.000
Sc 4.139 1.057 0.000
Sc 5.107 4.139 0.000
V 0.839 3.921 2.339
V 2.243 0.839 2.339
V 3.921 5.325 2.339
V 5.325 2.243 2.339
Ru 0.000 0.000 2.339
Ru 3.082 3.082 2.339
```

Summary:
Formation enthalpy at 0 K, eV per atom: -0.03
Energy, eV per formula unit: -40.30
M_tot, μB per cell: 1.19
DOS(E_F), states/eV/f.u.: 6.29



# 9
Compound: ScV2Ru
Source: Alexandria via LeMat-Bulk
Functional: PBE-GGA
Structure: relaxed

```
4
Lattice="0.000 3.106 3.106 3.106 0.000 3.106 3.106 3.106 0.000" Properties=species:S:1:pos:R:3 pbc="T T T"
Sc 0.000 0.000 0.000
V 1.553 1.553 1.553
V 4.659 4.659 4.659
Ru 3.106 3.106 3.106
```

Summary:
Formation enthalpy at 0 K, eV per atom: 0.00
Energy, eV per formula unit: -33.83
M_tot, μB per cell: 0.75
DOS(E_F), states/eV/f.u.: 6.20



# 10
Compound: Sc5VRu6
Source: Alexandria via LeMat-Bulk
Functional: PBE-GGA
Structure: relaxed

```
12
Lattice="2.244 -6.711 0.000 2.244 6.711 0.000 0.000 0.000 6.374" Properties=species:S:1:pos:R:3 pbc="T T T"
Sc 0.000 0.000 0.000
Sc 2.244 2.235 0.000
Sc 2.244 2.236 3.187
Sc 2.244 -2.235 0.000
Sc 2.244 -2.236 3.187
V 0.000 0.000 3.187
Ru 2.244 4.566 1.644
Ru 2.244 4.566 4.731
Ru 2.244 0.000 1.686
Ru 2.244 0.000 4.688
Ru 2.244 -4.566 1.644
Ru 2.244 -4.566 4.731
```

Summary:
Formation enthalpy at 0 K, eV per atom: -0.53
Energy, eV per formula unit: -102.74
M_tot, μB per cell: 0.00
DOS(E_F), states/eV/f.u.: 10.08



# 11
Compound: ScVRu2
Source: Alexandria via LeMat-Bulk
Functional: PBE-GGA
Structure: relaxed

```
4
Lattice="4.392 0.000 0.000 0.000 4.392 0.000 0.000 0.000 3.095" Properties=species:S:1:pos:R:3 pbc="T T T"
Sc 0.000 0.000 0.000
V 2.196 2.196 0.000
Ru 0.000 2.196 1.547
Ru 2.196 0.000 1.547
```

Summary:
Formation enthalpy at 0 K, eV per atom: -0.43
Energy, eV per formula unit: -35.73
M_tot, μB per cell: 0.00
DOS(E_F), states/eV/f.u.: 1.89



# 12
Compound: ScV2Ru2
Source: Alexandria via LeMat-Bulk
Functional: PBE-GGA
Structure: relaxed

```
5
Lattice="1.523 -8.303 0.000 1.523 8.303 0.000 0.000 0.000 3.042" Properties=species:S:1:pos:R:3 pbc="T T T"
Sc 0.000 0.000 0.000
V 1.523 5.143 0.000
V 1.523 -5.143 0.000
Ru 1.523 1.792 1.521
Ru 1.523 -1.792 1.521
```

Summary:
Formation enthalpy at 0 K, eV per atom: -0.15
Energy, eV per formula unit: -43.88
M_tot, μB per cell: 0.00
DOS(E_F), states/eV/f.u.: 4.48